# YCd2W (PBE, relaxed)
data_YCd2W
_chemical_formula_sum 'Y4 Cd8 W4'
_space_group_name_H-M_alt 'I -4 2 d'
_space_group_IT_number 122
_space_group_name_Hall 'I -4 2bw'
_cell_length_a 4.203
_cell_length_b 4.203
_cell_length_c 21.363
_cell_angle_alpha 90.00
_cell_angle_beta 90.00
_cell_angle_gamma 90.00
loop_
_atom_site_label
_atom_site_type_symbol
_atom_site_fract_x
_atom_site_fract_y
_atom_site_fract_z
Y1 Y 0.000 0.000 0.000
Cd1 Cd 0.220 0.250 0.625
W1 W 0.000 0.000 0.500
# total energy = -18.0 eV/f.u.
# DFT formation energy = 77.3 kJ/mol of atoms
# energy above the lowest structure with this stoichiometry = 490 meV per atom

***

# SrSm2Gd (PBE, relaxed)
data_SrSm2Gd
_chemical_formula_sum 'Sr3 Sm6 Gd3'
_space_group_name_H-M_alt 'R -3 m'
_space_group_IT_number 166
_space_group_name_Hall '-R 3 2"'
_cell_length_a 3.6519
_cell_length_b 3.6519
_cell_length_c 38.9659
_cell_angle_alpha 90.00
_cell_angle_beta 90.00
_cell_angle_gamma 120.00
loop_
_atom_site_label
_atom_site_type_symbol
_atom_site_fract_x
_atom_site_fract_y
_atom_site_fract_z
Sr1 Sr 0.0000 0.0000 0.0000
Sm1 Sm 0.0000 0.0000 0.0928
Gd1 Gd 0.0000 0.0000 0.5000
# total energy = -24.4 eV/f.u.
# DFT formation energy = 19.5 kJ/mol of atoms
# energy above the lowest structure with this stoichiometry = 99 meV per atom

***

# Cs3KPd (PBE, relaxed)
data_Cs3KPd
_chemical_formula_sum 'Cs3 K1 Pd1'
_space_group_name_H-M_alt 'P m -3 m'
_space_group_IT_number 221
_space_group_name_Hall '-P 4 2 3'
_cell_length_a 7.779
_cell_length_b 7.779
_cell_length_c 7.779
_cell_angle_alpha 90.00
_cell_angle_beta 90.00
_cell_angle_gamma 90.00
loop_
_atom_site_label
_atom_site_type_symbol
_atom_site_fract_x
_atom_site_fract_y
_atom_site_fract_z
Cs1 Cs 0.000 0.000 0.500
K1 K 0.000 0.000 0.000
Pd1 Pd 0.500 0.500 0.500
# total energy = -5.5 eV/f.u.
# DFT formation energy = 64.2 kJ/mol of atoms
# energy above the lowest structure with this stoichiometry = 622 meV per atom